Entry 1:
First-principles (meta-GGA SCAN) data for HfZrNiO2 at its PBEsol-relaxed geometry, as listed in Alexandria.

Formation energy from raw total energies in eV/atom: -0.79
Electronic total energy in eV/f.u.: -126.0
Total magnetization in μB per formula unit: 0.45

a b c (Å): 3.913 3.913 6.357
angles (deg): 90.00 90.00 90.00
Fractional positions:
Hf 0.000 0.000 0.500
O 0.500 0.000 0.000
Ni 0.500 0.500 0.500
O 0.000 0.500 0.000
Zr 0.000 0.000 0.000

***

Entry 2:
First-principles (meta-GGA SCAN) data for Ba2Na2Cd at its PBEsol-relaxed geometry, as listed in Alexandria.

ΔE_f in meV/atom: -99
Electronic total energy in eV/f.u.: -118.4
Total magnetization in μB per formula unit: 0.20

a b c (Å): 4.349 4.349 11.246
angles (deg): 101.15 101.15 90.00
Fractional positions:
Ba 0.411 0.411 0.822
Na 0.250 0.750 0.500
Na 0.750 0.250 0.500
Cd 0.000 0.000 0.000
Ba 0.589 0.589 0.178

***

Entry 3:
First-principles (meta-GGA SCAN) data for Ca3FeP at its PBEsol-relaxed geometry, as listed in Alexandria.

ΔE_f in meV/atom: -144
Electronic total energy in eV/f.u.: -58.2
Total magnetization in μB per formula unit: 3.57

a b c (Å): 5.399 5.399 5.399
angles (deg): 90.00 90.00 90.00
Fractional positions:
P 0.000 0.000 0.000
Ca 0.000 0.500 0.000
Fe 0.500 0.500 0.500
Ca 0.000 0.000 0.500
Ca 0.500 0.000 0.000

***

Entry 4:
First-principles (meta-GGA SCAN) data for Mg2InRu at its PBEsol-relaxed geometry, as listed in Alexandria.

ΔE_f in meV/atom: -139
Electronic total energy in eV/f.u.: -78.7
Total magnetization in μB per formula unit: 0.01

a b c (Å): 3.325 4.503 5.470
angles (deg): 114.31 107.69 90.00
Fractional positions:
Ru 0.500 0.000 0.000
Mg 0.226 0.226 0.451
In 0.000 0.500 0.000
Mg 0.774 0.774 0.549

***

Entry 5:
First-principles (meta-GGA SCAN) data for TaSbPb2 at its PBEsol-relaxed geometry, as listed in Alexandria.

Formation energy from raw total energies in eV/atom: 0.27
Electronic total energy in eV/f.u.: -254.3
Total magnetization in μB per formula unit: 0.00

a b c (Å): 3.114 5.314 7.340
angles (deg): 69.19 77.75 72.96
Fractional positions:
Ta 0.716 0.947 0.621
Sb 0.442 0.487 0.628
Pb 0.264 0.220 0.253
Pb 0.079 0.845 0.998

***

Entry 6:
First-principles (meta-GGA SCAN) data for RuRh at its PBEsol-relaxed geometry, as listed in Alexandria.

ΔE_f in meV/atom: 63
Electronic total energy in eV/f.u.: -68.5
Total magnetization in μB per formula unit: 0.00

a b c (Å): 2.661 2.661 4.624
angles (deg): 73.28 73.28 60.00
Fractional positions:
Rh 0.000 0.000 0.000
Ru 0.500 0.500 0.500

***

Entry 7:
First-principles (meta-GGA SCAN) data for Ta2MoPb at its PBEsol-relaxed geometry, as listed in Alexandria.

ΔE_f in meV/atom: 310
Electronic total energy in eV/f.u.: -242.6
Total magnetization in μB per formula unit: 0.00

a b c (Å): 2.934 4.651 5.523
angles (deg): 90.00 100.40 90.00
Fractional positions:
Ta 0.001 0.000 0.019
Mo 0.458 0.000 0.467
Pb 0.324 0.500 0.751
Ta 0.718 0.500 0.264

***

Entry 8:
First-principles (meta-GGA SCAN) data for TmSe at its PBEsol-relaxed geometry, as listed in Alexandria.

Formation energy from raw total energies in eV/atom: -1.84
Electronic total energy in eV/f.u.: -75.6
Total magnetization in μB per formula unit: 0.00

a b c (Å): 3.957 3.957 3.957
angles (deg): 60.00 60.00 60.00
Fractional positions:
Tm 0.500 0.500 0.500
Se 0.000 0.000 0.000

***

Entry 9:
First-principles (meta-GGA SCAN) data for Y6PdBr10 at its PBEsol-relaxed geometry, as listed in Alexandria.

Formation energy from raw total energies in eV/atom: -1.80
Electronic total energy in eV/f.u.: -425.1
Total magnetization in μB per formula unit: 0.00

a b c (Å): 7.152 8.994 9.026
angles (deg): 108.08 96.98 105.41
Fractional positions:
Pd 0.000 0.000 0.000
Br 0.738 0.919 0.539
Br 0.210 0.734 0.642
Br 0.450 0.819 0.088
Br 0.362 0.463 0.274
Br 0.638 0.537 0.726
Y 0.029 0.693 0.903
Br 0.089 0.371 0.822
Br 0.550 0.181 0.912
Y 0.628 0.859 0.818
Y 0.372 0.141 0.182
Y 0.873 0.957 0.254
Br 0.262 0.081 0.461
Y 0.127 0.043 0.746
Br 0.790 0.266 0.358
Br 0.911 0.629 0.178
Y 0.971 0.307 0.097

***

Entry 10:
First-principles (meta-GGA SCAN) data for RhW2Se at its PBEsol-relaxed geometry, as listed in Alexandria.

Formation energy from raw total energies in eV/atom: 0.25
Electronic total energy in eV/f.u.: -192.2
Total magnetization in μB per formula unit: 0.00

a b c (Å): 2.900 2.900 8.719
angles (deg): 80.43 80.43 60.00
Fractional positions:
W 0.753 0.753 0.740
Rh 0.498 0.498 0.505
Se 0.254 0.254 0.238
W 0.994 0.994 0.017

***

Entry 11:
First-principles (meta-GGA SCAN) data for CuMo6Se8 at its PBEsol-relaxed geometry, as listed in Alexandria.

Formation energy from raw total energies in eV/atom: -0.48
Electronic total energy in eV/f.u.: -392.3
Total magnetization in μB per formula unit: 0.00

a b c (Å): 6.620 6.620 6.620
angles (deg): 92.86 92.86 92.86
Fractional positions:
Se 0.129 0.742 0.370
Mo 0.222 0.415 0.546
Mo 0.546 0.222 0.415
Mo 0.454 0.778 0.585
Se 0.789 0.789 0.789
Se 0.630 0.871 0.258
Se 0.370 0.129 0.742
Se 0.258 0.630 0.871
Mo 0.415 0.546 0.222
Mo 0.585 0.454 0.778
Se 0.211 0.211 0.211
Cu 0.000 0.000 0.000
Mo 0.778 0.585 0.454
Se 0.742 0.370 0.129
Se 0.871 0.258 0.630

***

Entry 12:
First-principles (meta-GGA SCAN) data for IrOsSCl2 at its PBEsol-relaxed geometry, as listed in Alexandria.

Formation energy from raw total energies in eV/atom: 1.28
Electronic total energy in eV/f.u.: -162.2
Total magnetization in μB per formula unit: 2.64

a b c (Å): 4.408 4.701 4.701
angles (deg): 90.00 90.00 90.00
Fractional positions:
S 0.500 0.000 0.000
Cl 0.000 0.500 0.000
Cl 0.000 0.000 0.500
Ir 0.500 0.500 0.500
Os 0.000 0.000 0.000